Record 1
A plane-wave DFT calculation with GGA-PBEsol was carried out for BeCd after structural relaxation.

Cell: 3.0510 3.0510 3.0510 Å, 90.00 90.00 90.00°
With the nearest neighbours (Å) after each atom.
Space group Pm-3m (No. 221)
Unique sites:
Be: 0.0000 0.0000 0.0000 [1 per cell]  8 Cd 2.64
Cd: 0.5000 0.5000 0.5000 [1 per cell]  8 Be 2.64

Properties
Energy relative to the lowest polymorph listed for this composition ... 143 meV per atom
Calculated volume ... 28.4 Å³/f.u.
Calculated total energy ... -2.127 eV per atom
D(E_F) ... 0.6 states/eV/cell
ΔH_f (0 K) ... 0.47 eV/atom



Record 2
A plane-wave DFT calculation with GGA-PBEsol was carried out for Be3Cd2 after structural relaxation.

Cell: 4.1093 4.1093 4.9783 Å, 90.00 90.00 120.00°
With the nearest neighbours (Å) after each atom.
Space group P-3m1 (No. 164)
Unique sites:
Be: 0.0000 0.0000 0.0000 [1 per cell]  6 Cd 2.52
Be: 0.3333 0.6667 0.3562 [2 per cell]  5 Cd 2.36-2.62
Cd: 0.3333 0.6667 0.8299 [2 per cell]  8 Be 2.36-2.62

Properties
Calculated volume ... 72.8 Å³/f.u.
Calculated total energy ... -2.342 eV per atom
D(E_F) ... 0.6 states/eV/cell
ΔH_f (0 K) ... 0.54 eV/atom



Record 3
A plane-wave DFT calculation with GGA-PBEsol was carried out for BeCd after structural relaxation.

Cell: 4.0030 4.0030 8.7256 Å, 90.00 90.00 120.00°
With the nearest neighbours (Å) after each atom.
Space group P6_3/mmc (No. 194)
Unique sites:
Be: 0.0000 0.0000 0.2500 [2 per cell]  3 Be 2.31
Be: 0.3333 0.6667 0.2500 [2 per cell]  3 Be 2.31
Cd: 0.3333 0.6667 0.5921 [4 per cell]  7 Be 2.69-2.99, 4 Cd 2.75-2.82

Properties
Energy relative to the lowest polymorph listed for this composition ... 61 meV per atom
Calculated volume ... 30.3 Å³/f.u.
Calculated total energy ... -2.209 eV per atom
D(E_F) ... 2.3 states/eV/cell
ΔH_f (0 K) ... 0.39 eV/atom



Record 4
A plane-wave DFT calculation with GGA-PBEsol was carried out for Be3Cd after structural relaxation.

Cell: 2.6654 3.8829 4.5583 Å, 90.00 90.99 90.00°
With the nearest neighbours (Å) after each atom.
Space group P2/m (No. 10)
Unique sites:
Be: 0.0000 0.0000 0.0000 [1 per cell]  4 Be 2.22
Be: 0.2070 0.5000 0.7969 [2 per cell]  4 Be 2.17-2.40
Cd: 0.5000 0.0000 0.5000 [1 per cell]  8 Be 2.50-2.66, 2 Cd 2.67

Properties
Energy relative to the lowest polymorph listed for this composition ... 51 meV per atom
Calculated volume ... 47.2 Å³/f.u.
Calculated total energy ... -2.852 eV per atom
D(E_F) ... 0.7 states/eV/cell
ΔH_f (0 K) ... 0.45 eV/atom



Record 5
A plane-wave DFT calculation with GGA-PBEsol was carried out for BeCd3 after structural relaxation.

Cell: 3.0201 3.0201 8.8724 Å, 90.00 90.00 120.00°
With the nearest neighbours (Å) after each atom.
Space group P-6m2 (No. 187)
Unique sites:
Be: 0.0000 0.0000 0.0000 [1 per cell]  6 Cd 2.59
Cd: 0.0000 0.0000 0.5000 [1 per cell]  12 Cd 3.02-3.06
Cd: 0.3333 0.6667 0.2164 [2 per cell]  3 Be 2.59

Properties
Energy relative to the lowest polymorph listed for this composition ... 0 meV per atom
Calculated volume ... 70.1 Å³/f.u.
Calculated total energy ... -1.654 eV per atom
D(E_F) ... 1.3 states/eV/cell
ΔH_f (0 K) ... 0.24 eV/atom



Record 6
A plane-wave DFT calculation with GGA-PBEsol was carried out for BeCd5 after structural relaxation.

Cell: 5.1880 5.1880 4.7827 Å, 90.00 90.00 120.00°
With the nearest neighbours (Å) after each atom.
Space group P-62m (No. 189)
Unique sites:
Be: 0.0000 0.0000 0.0000 [1 per cell]  12 Cd 2.91-3.00
Cd: 0.0000 0.6805 0.5000 [3 per cell]  10 Cd 2.87-3.06, 2 Be 2.91
Cd: 0.3333 0.6667 0.0000 [2 per cell]  9 Cd 2.97-3.00, 3 Be 3.00

Properties
Calculated volume ... 111.5 Å³/f.u.
Calculated total energy ... -1.446 eV per atom
D(E_F) ... 1.9 states/eV/cell
ΔH_f (0 K) ... 0.22 eV/atom



Record 7
A plane-wave DFT calculation with GGA-PBEsol was carried out for BeCd3 after structural relaxation.

Cell: 5.5694 7.8410 3.3219 Å, 90.00 90.00 90.00°
With the nearest neighbours (Å) after each atom.
Space group Cmmm (No. 65)
Unique sites:
Be: 0.0000 0.0000 0.0000 [2 per cell]  10 Cd 2.78-2.92
Cd: 0.0000 0.5000 0.0000 [2 per cell]  2 Be 2.78, 8 Cd 2.92
Cd: 0.2500 0.2500 0.5000 [4 per cell]  6 Cd 2.78-2.92, 4 Be 2.92

Properties
Energy relative to the lowest polymorph listed for this composition ... 77 meV per atom
Calculated volume ... 72.5 Å³/f.u.
Calculated total energy ... -1.577 eV per atom
D(E_F) ... 2.4 states/eV/cell
ΔH_f (0 K) ... 0.32 eV/atom



Record 8
A plane-wave DFT calculation with GGA-PBEsol was carried out for BeCd after structural relaxation.

Cell: 2.7332 3.5359 6.2814 Å, 90.00 90.00 90.00°
With the nearest neighbours (Å) after each atom.
Space group Pmmn (No. 59, origin choice 2)
Unique sites:
Be: 0.2500 0.2500 0.0041 [2 per cell]  4 Be 2.24
Cd: 0.2500 0.7500 0.3408 [2 per cell]  4 Be 2.56-2.76, 2 Cd 2.73

Properties
Energy relative to the lowest polymorph listed for this composition ... 0 meV per atom
Calculated volume ... 30.4 Å³/f.u.
Calculated total energy ... -2.270 eV per atom
D(E_F) ... 0.7 states/eV/cell
ΔH_f (0 K) ... 0.33 eV/atom



Record 9
A plane-wave DFT calculation with GGA-PBEsol was carried out for Be3Cd4 after structural relaxation.

Cell: 4.7232 4.7232 5.6783 Å, 90.00 90.00 120.00°
With the nearest neighbours (Å) after each atom.
Space group P6/mmm (No. 191)
Unique sites:
Be: 0.0000 0.5000 0.0000 [3 per cell]  4 Be 2.36
Cd: 0.0000 0.0000 0.2422 [2 per cell]  6 Be 2.73, 2 Cd 2.75-2.93
Cd: 0.3333 0.6667 0.5000 [2 per cell]  3 Cd 2.73

Properties
Calculated volume ... 109.7 Å³/f.u.
Calculated total energy ... -2.088 eV per atom
D(E_F) ... 2.3 states/eV/cell
ΔH_f (0 K) ... 0.31 eV/atom



Record 10
A plane-wave DFT calculation with GGA-PBEsol was carried out for Be3Cd after structural relaxation.

Cell: 7.7039 2.5639 4.9184 Å, 90.00 102.49 90.00°
With the nearest neighbours (Å) after each atom.
Space group C2/m (No. 12)
Unique sites:
Be: 0.0000 0.0000 0.0000 [2 per cell]  6 Be 2.25-2.34
Be: 0.2387 0.5000 0.1693 [4 per cell]  5 Be 2.14-2.34
Cd: 0.0000 0.5000 0.5000 [2 per cell]  2 Cd 2.56, 10 Be 2.63-2.77

Properties
Energy relative to the lowest polymorph listed for this composition ... 0 meV per atom
Calculated volume ... 47.4 Å³/f.u.
Calculated total energy ... -2.903 eV per atom
D(E_F) ... 1.5 states/eV/cell
ΔH_f (0 K) ... 0.40 eV/atom



Record 11
A plane-wave DFT calculation with GGA-PBEsol was carried out for BeCd3Cl after structural relaxation.

Cell: 4.7665 4.7665 4.7665 Å, 90.00 90.00 90.00°
With the nearest neighbours (Å) after each atom.
Space group Pm-3m (No. 221)
Unique sites:
Be: 0.0000 0.0000 0.0000 [1 per cell]  6 Cd 2.38
Cd: 0.0000 0.0000 0.5000 [3 per cell]  2 Be 2.38
Cl: 0.5000 0.5000 0.5000 [1 per cell]  12 Cd 3.37

Properties
Calculated volume ... 108.3 Å³/f.u.
Calculated total energy ... -1.860 eV per atom
D(E_F) ... 2.3 states/eV/cell



Record 12
A plane-wave DFT calculation with GGA-PBEsol was carried out for Be2CdCl after structural relaxation.

Cell: 2.8527 5.3859 9.2154 Å, 90.00 90.00 90.00°
With the nearest neighbours (Å) after each atom.
Space group Cmm2 (No. 35)
Unique sites:
Be: 0.0000 0.0000 0.0000 [2 per cell]  2 Cl 1.99
Be: 0.0000 0.5000 0.1946 [2 per cell]  2 Be 2.29
Cd: 0.0000 0.0000 0.4331 [2 per cell]  2 Be 2.62, 2 Cd 2.85
Cl: 0.0000 0.5000 0.8488 [2 per cell]  2 Be 1.99

Properties
Calculated volume ... 70.8 Å³/f.u.
Calculated total energy ... -2.619 eV per atom
D(E_F) ... 2.6 states/eV/cell